# 1
Compound: CeNdTlGa
Source: Alexandria
Functional: GGA-PBE
Structure: optimized geometry

Cell and atoms, written as extended XYZ:
```
4
Lattice="3.4844 0.0000 0.0000 0.0000 3.4844 0.0000 0.0000 0.0000 8.7733" Properties=species:S:1:pos:R:3 pbc="T T T"
Ce 0.0000 0.0000 0.0000
Nd 0.0000 0.0000 4.0069
Tl 1.7422 1.7422 6.4163
Ga 1.7422 1.7422 1.9896
```

Results
**Total energy**: -4.43 eV/atom
**Total magnetic moment**: 0.88 μB/f.u.
**E_form**: -408 meV per atom
**Space group**: No. 99
**Energy relative to the lowest polymorph listed for this composition**: 0 meV/atom

# 2
Compound: CeNdTlGa
Source: Alexandria
Functional: GGA-PBE
Structure: optimized geometry

Cell and atoms, written as extended XYZ:
```
16
Lattice="7.6031 0.0000 0.0000 0.0000 7.6031 0.0000 0.0000 0.0000 7.6031" Properties=species:S:1:pos:R:3 pbc="T T T"
Ce 0.0000 0.0000 0.0000
Ce 0.0000 3.8015 3.8015
Ce 3.8015 0.0000 3.8015
Ce 3.8015 3.8015 0.0000
Nd 0.0000 0.0000 3.8015
Nd 0.0000 3.8015 0.0000
Nd 3.8015 0.0000 0.0000
Nd 3.8015 3.8015 3.8015
Tl 1.9008 1.9008 1.9008
Tl 1.9008 5.7023 5.7023
Tl 5.7023 1.9008 5.7023
Tl 5.7023 5.7023 1.9008
Ga 1.9008 1.9008 5.7023
Ga 1.9008 5.7023 1.9008
Ga 5.7023 1.9008 1.9008
Ga 5.7023 5.7023 5.7023
```

Results
**Total energy**: -4.38 eV/atom
**Total magnetic moment**: 0.94 μB/f.u.
**E_form**: -358 meV per atom
**Space group**: No. 216
**Energy relative to the lowest polymorph listed for this composition**: 50 meV/atom

# 3
Compound: Ce2NdZn2Ga2
Source: Alexandria
Functional: GGA-PBE
Structure: optimized geometry

Cell and atoms, written as extended XYZ:
```
7
Lattice="2.1790 1.2580 9.2772 -2.1790 1.2580 9.2772 0.0000 -2.5161 9.2772" Properties=species:S:1:pos:R:3 pbc="T T T"
Ce 0.0000 0.0000 3.9707
Ce 0.0000 0.0000 23.8608
Nd 0.0000 0.0000 0.0000
Zn 0.0000 0.0000 11.3132
Zn 0.0000 0.0000 16.5182
Ga 0.0000 0.0000 7.2633
Ga 0.0000 0.0000 20.5681
```

Results
**Total energy**: -4.04 eV/atom
**Total magnetic moment**: 1.32 μB/f.u.
**E_form**: -434 meV per atom
**Space group**: No. 166

# 4
Compound: CeGa2Ni2
Source: Alexandria
Functional: GGA-PBE
Structure: optimized geometry

Cell and atoms, written as extended XYZ:
```
10
Lattice="4.1980 0.0000 0.0000 0.0000 4.1980 0.0000 0.0000 0.0000 9.7113" Properties=species:S:1:pos:R:3 pbc="T T T"
Ce 0.0000 0.0000 0.0000
Ce 2.0990 2.0990 4.8557
Ga 0.0000 0.0000 3.5641
Ga 0.0000 0.0000 6.1472
Ga 2.0990 2.0990 1.2915
Ga 2.0990 2.0990 8.4198
Ni 0.0000 2.0990 2.4278
Ni 0.0000 2.0990 7.2835
Ni 2.0990 0.0000 2.4278
Ni 2.0990 0.0000 7.2835
```

Results
**Total energy**: -5.21 eV/atom
**Total magnetic moment**: 0.73 μB/f.u.
**E_form**: -498 meV per atom
**Space group**: No. 139

# 5
Compound: CeGaNi4
Source: Alexandria
Functional: GGA-PBE
Structure: optimized geometry

Cell and atoms, written as extended XYZ:
```
12
Lattice="5.0367 0.0000 0.0000 0.0000 8.3853 0.0000 0.0000 0.0000 4.0837" Properties=species:S:1:pos:R:3 pbc="T T T"
Ce 0.0000 0.0000 0.0000
Ce 2.5184 4.1927 0.0000
Ga 0.0000 4.1927 2.0419
Ga 2.5184 0.0000 2.0419
Ni 0.0000 2.7556 0.0000
Ni 0.0000 5.6298 0.0000
Ni 1.2592 2.0963 2.0419
Ni 1.2592 6.2890 2.0419
Ni 2.5184 1.4371 0.0000
Ni 2.5184 6.9483 0.0000
Ni 3.7775 2.0963 2.0419
Ni 3.7775 6.2890 2.0419
```

Results
**Total energy**: -5.82 eV/atom
**Total magnetic moment**: 0.10 μB/f.u.
**E_form**: -474 meV per atom
**Space group**: No. 65

# 6
Compound: Ce5Ga2Ni2
Source: Alexandria
Functional: GGA-PBE
Structure: optimized geometry

Cell and atoms, written as extended XYZ:
```
18
Lattice="7.6003 -3.3146 0.0000 7.6003 3.3146 0.0000 0.0000 0.0000 8.4699" Properties=species:S:1:pos:R:3 pbc="T T T"
Ce 0.0000 0.0000 0.0000
Ce 5.6449 2.2779 5.7955
Ce 5.6449 1.0367 1.5605
Ce 9.5557 2.2779 5.7955
Ce 9.5557 1.0367 1.5605
Ce 7.6003 0.0000 4.2350
Ce 5.6449 -1.0367 6.9094
Ce 5.6449 -2.2779 2.6744
Ce 9.5557 -1.0367 6.9094
Ce 9.5557 -2.2779 2.6744
Ga 3.2181 0.0000 0.0000
Ga 4.3822 0.0000 4.2350
Ga 10.8184 0.0000 4.2350
Ga 11.9825 0.0000 0.0000
Ni 7.6003 2.4299 3.3317
Ni 7.6003 0.8847 7.5667
Ni 7.6003 -0.8847 0.9032
Ni 7.6003 -2.4299 5.1382
```

Results
**Total energy**: -5.52 eV/atom
**Total magnetic moment**: 3.06 μB/f.u.
**E_form**: -267 meV per atom
**Space group**: No. 64

# 7
Compound: CeGa2Ni5
Source: Alexandria
Functional: GGA-PBE
Structure: optimized geometry

Cell and atoms, written as extended XYZ:
```
16
Lattice="3.6681 0.0000 0.0000 0.0000 6.6013 0.0000 0.0000 0.0000 9.5791" Properties=species:S:1:pos:R:3 pbc="T T T"
Ce 0.0000 0.0000 0.0000
Ce 1.8341 3.3006 4.7895
Ga 0.0000 3.3006 2.3402
Ga 0.0000 3.3006 7.2389
Ga 1.8341 0.0000 2.4493
Ga 1.8341 0.0000 7.1297
Ni 0.0000 1.2502 3.5307
Ni 0.0000 1.2502 6.0484
Ni 0.0000 3.3006 0.0000
Ni 0.0000 5.3511 3.5307
Ni 0.0000 5.3511 6.0484
Ni 1.8341 0.0000 4.7895
Ni 1.8341 2.0505 1.2589
Ni 1.8341 2.0505 8.3202
Ni 1.8341 4.5508 1.2589
Ni 1.8341 4.5508 8.3202
```

Results
**Total energy**: -5.45 eV/atom
**Total magnetic moment**: 0.31 μB/f.u.
**E_form**: -338 meV per atom
**Space group**: No. 71

# 8
Compound: Ce2Ga5Ni
Source: Alexandria
Functional: GGA-PBE
Structure: optimized geometry

Cell and atoms, written as extended XYZ:
```
16
Lattice="6.0795 0.0000 0.0000 0.0000 6.0795 0.0000 0.0000 0.0000 8.9820" Properties=species:S:1:pos:R:3 pbc="T T T"
Ce 0.0000 3.0398 0.0000
Ce 0.0000 3.0398 4.4910
Ce 3.0398 0.0000 0.0000
Ce 3.0398 0.0000 4.4910
Ga 0.0000 0.0000 4.2626
Ga 1.3395 1.3395 2.2602
Ga 1.3395 4.7400 2.2602
Ga 1.7002 1.7002 6.7512
Ga 1.7002 4.3793 6.7512
Ga 3.0398 3.0398 8.7536
Ga 4.3793 1.7002 6.7512
Ga 4.3793 4.3793 6.7512
Ga 4.7400 1.3395 2.2602
Ga 4.7400 4.7400 2.2602
Ni 0.0000 0.0000 6.6540
Ni 3.0398 3.0398 2.1630
```

Results
**Total energy**: -4.53 eV/atom
**Total magnetic moment**: 1.09 μB/f.u.
**E_form**: -429 meV per atom
**Space group**: No. 107

# 9
Compound: Ce3Ga2Ni7
Source: Alexandria
Functional: GGA-PBE
Structure: optimized geometry

Cell and atoms, written as extended XYZ:
```
12
Lattice="2.5820 1.4907 8.0308 -2.5820 1.4907 8.0308 0.0000 -2.9815 8.0308" Properties=species:S:1:pos:R:3 pbc="T T T"
Ce 0.0000 0.0000 0.0000
Ce 0.0000 0.0000 3.4542
Ce 0.0000 0.0000 20.6382
Ga 0.0000 0.0000 7.9817
Ga 0.0000 0.0000 16.1108
Ni -1.2719 -0.7344 10.0121
Ni 0.0000 -1.4687 14.0804
Ni -1.2719 0.7344 14.0804
Ni 0.0000 0.0000 12.0462
Ni 1.2719 -0.7344 10.0121
Ni 0.0000 1.4687 10.0121
Ni 1.2719 0.7344 14.0803
```

Results
**Total energy**: -5.80 eV/atom
**Total magnetic moment**: 1.10 μB/f.u.
**E_form**: -435 meV per atom
**Space group**: No. 166

# 10
Compound: CeGa12Ni6
Source: Alexandria
Functional: GGA-PBE
Structure: optimized geometry

Cell and atoms, written as extended XYZ:
```
19
Lattice="5.4897 3.1695 2.8314 -5.4897 3.1695 2.8314 0.0000 -6.3390 2.8314" Properties=species:S:1:pos:R:3 pbc="T T T"
Ce 0.0000 0.0000 0.0000
Ga -2.1118 -3.6578 4.2470
Ga -4.2237 0.0000 4.2470
Ga -1.4056 -0.8115 2.7356
Ga 1.4056 -0.8115 2.7355
Ga 0.0000 1.6231 2.7355
Ga 2.1118 -3.6578 4.2470
Ga -2.1118 3.6578 4.2470
Ga 0.0000 -1.6231 5.7585
Ga -1.4056 0.8115 5.7585
Ga 1.4056 0.8115 5.7585
Ga 4.2237 0.0000 4.2470
Ga 2.1118 3.6578 4.2470
Ni 0.0000 -2.6930 3.5981
Ni -2.3322 1.3465 3.5981
Ni -2.3322 -1.3465 4.8960
Ni 2.3322 1.3465 3.5981
Ni 2.3322 -1.3465 4.8960
Ni 0.0000 2.6930 4.8960
```

Results
**Total energy**: -4.39 eV/atom
**Total magnetic moment**: 1.04 μB/f.u.
**E_form**: -341 meV per atom
**Space group**: No. 166

# 11
Compound: Ce7Ga2Ni2
Source: Alexandria
Functional: GGA-PBE
Structure: optimized geometry

Cell and atoms, written as extended XYZ:
```
11
Lattice="3.9232 -5.3347 0.0000 3.9232 5.3347 0.0000 0.0000 0.0000 6.5805" Properties=species:S:1:pos:R:3 pbc="T T T"
Ce 0.0000 0.0000 0.0000
Ce 1.9616 2.6673 1.8601
Ce 1.9616 2.6673 4.7204
Ce 1.9616 -2.6673 1.8601
Ce 1.9616 -2.6673 4.7204
Ce 3.9232 0.0000 1.8887
Ce 3.9232 0.0000 4.6918
Ga 1.2226 0.0000 3.2902
Ga 6.6238 0.0000 3.2902
Ni 3.9232 2.2244 0.0000
Ni 3.9232 -2.2244 0.0000
```

Results
**Total energy**: -5.56 eV/atom
**Total magnetic moment**: 2.90 μB/f.u.
**E_form**: -181 meV per atom
**Space group**: No. 65

# 12
Compound: CeGa6Ni2
Source: Alexandria
Functional: GGA-PBE
Structure: optimized geometry

Cell and atoms, written as extended XYZ:
```
18
Lattice="0.0000 5.7344 5.7344 5.7344 0.0000 5.7344 5.7344 5.7344 0.0000" Properties=species:S:1:pos:R:3 pbc="T T T"
Ce 1.4336 1.4336 1.4336
Ce 10.0351 10.0351 10.0351
Ga 4.3008 4.3008 1.6563
Ga 4.3008 1.6563 4.3008
Ga 6.9452 4.3008 4.3008
Ga 7.1679 7.1679 4.5235
Ga 7.1679 4.5235 7.1679
Ga 9.8124 7.1679 7.1679
Ga 1.6563 4.3008 4.3008
Ga 4.3008 6.9452 4.3008
Ga 4.3008 4.3008 6.9452
Ga 4.5235 7.1679 7.1679
Ga 7.1679 9.8124 7.1679
Ga 7.1679 7.1679 9.8124
Ni 5.7344 2.8672 2.8672
Ni 2.8672 5.7344 2.8672
Ni 2.8672 2.8672 5.7344
Ni 5.7344 5.7344 5.7344
```

Results
**Total energy**: -3.96 eV/atom
**Total magnetic moment**: 1.05 μB/f.u.
**E_form**: 0 meV per atom
**Space group**: No. 227

# 13
Compound: CeGaNi4
Source: Alexandria
Functional: GGA-PBE
Structure: optimized geometry

Cell and atoms, written as extended XYZ:
```
6
Lattice="5.0810 0.0000 0.0000 -2.5405 4.4003 0.0000 0.0000 0.0000 3.8985" Properties=species:S:1:pos:R:3 pbc="T T T"
Ce 0.0000 0.0000 0.0000
Ga 2.5405 1.4668 0.0000
Ni -1.2495 2.2121 1.9492
Ni 0.0000 2.9335 0.0000
Ni 1.2495 2.2121 1.9492
Ni 0.0000 4.3763 1.9492
```

Results
**Total energy**: -5.77 eV/atom
**Total magnetic moment**: 0.12 μB/f.u.
**E_form**: -426 meV per atom
**Space group**: No. 187

# 14
Compound: CeGa3Ni
Source: Alexandria
Functional: GGA-PBE
Structure: optimized geometry

Cell and atoms, written as extended XYZ:
```
5
Lattice="4.6009 0.0000 0.0000 0.0000 4.6009 0.0000 0.0000 0.0000 4.6009" Properties=species:S:1:pos:R:3 pbc="T T T"
Ce 0.0000 0.0000 0.0000
Ga 0.0000 2.3004 2.3004
Ga 2.3004 0.0000 2.3004
Ga 2.3004 2.3004 0.0000
Ni 2.3004 2.3004 2.3004
```

Results
**Total energy**: -4.53 eV/atom
**Total magnetic moment**: 1.19 μB/f.u.
**E_form**: -368 meV per atom
**Space group**: No. 221
**Energy relative to the lowest polymorph listed for this composition**: 221 meV/atom

# 15
Compound: Ce2GaNi5
Source: Alexandria
Functional: GGA-PBE
Structure: optimized geometry

Cell and atoms, written as extended XYZ:
```
16
Lattice="5.8046 0.0000 0.0000 0.0000 5.8046 0.0000 0.0000 0.0000 7.7430" Properties=species:S:1:pos:R:3 pbc="T T T"
Ce 0.0000 2.9023 0.0000
Ce 0.0000 2.9023 3.8715
Ce 2.9023 0.0000 0.0000
Ce 2.9023 0.0000 3.8715
Ga 0.0000 0.0000 2.3204
Ga 2.9023 2.9023 6.1919
Ni 0.0000 0.0000 7.5808
Ni 1.2246 1.2246 5.7402
Ni 1.2246 4.5799 5.7402
Ni 1.6776 1.6776 1.8687
Ni 1.6776 4.1269 1.8687
Ni 2.9023 2.9023 3.7093
Ni 4.1269 1.6776 1.8687
Ni 4.1269 4.1269 1.8687
Ni 4.5799 1.2246 5.7402
Ni 4.5799 4.5799 5.7402
```

Results
**Total energy**: -5.77 eV/atom
**Total magnetic moment**: 0.43 μB/f.u.
**E_form**: -295 meV per atom
**Space group**: No. 107

# 16
Compound: CeGa4Ni
Source: Alexandria
Functional: GGA-PBE
Structure: optimized geometry

Cell and atoms, written as extended XYZ:
```
12
Lattice="-2.5068 2.5068 10.0023 2.5068 -2.5068 10.0023 2.5068 2.5068 -10.0023" Properties=species:S:1:pos:R:3 pbc="T T T"
Ce 2.5068 1.2534 2.5006
Ce 0.0000 1.2534 7.5017
Ga 1.2730 1.2534 -0.5537
Ga 3.7405 1.2534 -0.5537
Ga 0.0000 0.0196 4.4474
Ga 2.5068 0.0196 5.5549
Ga 0.0000 2.4871 4.4474
Ga 2.5068 2.4871 5.5549
Ga -1.2338 1.2534 10.5560
Ga 1.2338 1.2534 10.5560
Ni 2.5068 -1.2534 7.5017
Ni 0.0000 3.7602 2.5006
```

Results
**Total energy**: -4.09 eV/atom
**Total magnetic moment**: 0.78 μB/f.u.
**E_form**: -121 meV per atom
**Space group**: No. 141

# 17
Compound: Ce3Ga3Ni8
Source: Alexandria
Functional: GGA-PBE
Structure: optimized geometry

Cell and atoms, written as extended XYZ:
```
14
Lattice="-2.0773 4.3772 6.1284 2.0773 -4.3772 6.1284 2.0773 4.3772 -6.1284" Properties=species:S:1:pos:R:3 pbc="T T T"
Ce 0.0000 0.0000 0.0000
Ce 0.0000 0.0000 3.5892
Ce 0.0000 0.0000 8.6676
Ga 2.0773 2.3519 0.0000
Ga 0.0000 4.3772 0.0000
Ga 0.0000 2.0253 6.1284
Ni 2.0773 -1.5455 2.3824
Ni 2.0773 -1.9878 4.7881
Ni 2.0773 1.5455 2.3824
Ni 0.0000 2.3893 1.3403
Ni 2.0773 1.9878 4.7881
Ni 0.0000 2.8317 3.7460
Ni 0.0000 6.3650 1.3403
Ni 0.0000 5.9227 3.7460
```

Results
**Total energy**: -5.63 eV/atom
**Total magnetic moment**: 0.46 μB/f.u.
**E_form**: -404 meV per atom
**Space group**: No. 71

# 18
Compound: Ce4GaNi
Source: Alexandria
Functional: GGA-PBE
Structure: optimized geometry

Cell and atoms, written as extended XYZ:
```
12
Lattice="4.3536 -6.1683 0.0000 4.3536 6.1683 0.0000 -2.2121 0.0000 5.0726" Properties=species:S:1:pos:R:3 pbc="T T T"
Ce 1.1906 3.8045 4.5234
Ce 1.1062 1.2789 3.2573
Ce 4.1985 3.8045 3.0855
Ce 2.2123 -1.2789 0.7210
Ce 4.2829 1.2789 4.3515
Ce 2.2967 -3.8045 1.9871
Ce 5.3889 -1.2789 1.8153
Ce 5.3045 -3.8045 0.5492
Ga 3.8006 1.3427 1.2681
Ga 2.6946 -1.3427 3.8044
Ni 3.8006 6.1106 1.2681
Ni 2.6946 -6.1106 3.8044
```

Results
**Total energy**: -5.67 eV/atom
**Total magnetic moment**: 0.01 μB/f.u.
**E_form**: -248 meV per atom
**Space group**: No. 15

# 19
Compound: Ce6Ga3Ni
Source: Alexandria
Functional: GGA-PBE
Structure: optimized geometry

Cell and atoms, written as extended XYZ:
```
20
Lattice="5.1623 2.9805 5.2671 -5.1623 2.9805 5.2671 0.0000 -5.9610 5.2671" Properties=species:S:1:pos:R:3 pbc="T T T"
Ce -3.6642 -1.6136 7.9799
Ce -1.8842 -0.6705 6.0874
Ce -0.4347 -3.9801 7.8215
Ce -3.2295 2.3665 7.8215
Ce 1.5228 -1.2965 6.0875
Ce -0.3615 -1.9670 9.7139
Ce 0.3615 1.9670 6.0875
Ce -1.5228 1.2965 9.7139
Ce 3.2295 -2.3665 7.9799
Ce 0.4347 3.9801 7.9799
Ce 1.8842 0.6705 9.7139
Ce 3.6642 1.6136 7.8215
Ga -0.4503 -3.3883 4.7326
Ga -2.7092 2.0842 4.7326
Ga -3.1595 -1.3042 11.0688
Ga 3.1595 1.3042 4.7326
Ga 2.7092 -2.0841 11.0688
Ga 0.4503 3.3883 11.0688
Ni 0.0000 0.0000 0.0000
Ni 0.0000 0.0000 7.9007
```

Results
**Total energy**: -5.27 eV/atom
**Total magnetic moment**: 2.23 μB/f.u.
**E_form**: -228 meV per atom
**Space group**: No. 148

# 20
Compound: Ce3Ga2Ni6
Source: Alexandria
Functional: GGA-PBE
Structure: optimized geometry

Cell and atoms, written as extended XYZ:
```
22
Lattice="-4.4554 4.4554 4.4554 4.4554 -4.4554 4.4554 4.4554 4.4554 -4.4554" Properties=species:S:1:pos:R:3 pbc="T T T"
Ce 2.5052 0.0000 0.0000
Ce 6.4057 0.0000 0.0000
Ce 0.0000 2.5052 0.0000
Ce 0.0000 0.0000 2.5052
Ce 0.0000 6.4057 0.0000
Ce 0.0000 0.0000 6.4057
Ga 2.2277 2.2277 -2.2277
Ga 2.2277 -2.2277 2.2277
Ga -2.2277 2.2277 2.2277
Ga 2.2277 2.2277 2.2277
Ni 4.4554 1.3840 -1.3840
Ni 4.4554 -1.3840 1.3840
Ni 4.4554 1.3840 1.3840
Ni 1.3840 4.4554 -1.3840
Ni 3.0715 3.0715 0.0000
Ni 1.3840 -1.3840 4.4554
Ni 3.0715 0.0000 3.0715
Ni -1.3840 4.4554 1.3840
Ni 1.3840 4.4554 1.3840
Ni -1.3840 1.3840 4.4554
Ni 1.3840 1.3840 4.4554
Ni 0.0000 3.0715 3.0715
```

Results
**Total energy**: -5.81 eV/atom
**Total magnetic moment**: 0.63 μB/f.u.
**E_form**: -484 meV per atom
**Space group**: No. 229